No. 1
VZn3C, optimized geometry, DFT PBE; energy of formation from the pure elements = 0.9233 eV per atom; density of states at the Fermi level = 0.9866 states/eV/atom; uncorrected energy = -17.5 eV per cell; symmetry = No. 221; energy relative to the lowest polymorph listed for this composition = 0.0 meV/atom
1.0
4.1472 0.0000 0.0000
0.0000 4.1472 0.0000
0.0000 0.0000 4.1472
Zn C V
3 1 1
direct
0.0000 0.5000 0.0000 Zn
0.0000 0.0000 0.5000 Zn
0.5000 0.0000 0.0000 Zn
0.0000 0.0000 0.0000 C
0.5000 0.5000 0.5000 V

=====

No. 2
SbP2Cl, optimized geometry, DFT PBE; formation energy from raw total energies = 584 meV per atom; density of states at the Fermi level = 0.5236 states/eV/atom; uncorrected energy = -14.5 eV per cell; symmetry = No. 139; energy relative to the lowest polymorph listed for this composition = 618.4 meV/atom
1.0
-5.8165 1.5575 1.7319
-5.4198 -0.9423 -2.9991
5.3498 -2.6769 1.8630
Cl P Sb
1 2 1
direct
0.7500 0.2500 0.5000 Cl
0.0000 0.0000 0.0000 P
0.5000 0.5000 0.0000 P
0.2500 0.7500 0.5000 Sb

=====

No. 3
Ca2CoNi3Ge4, optimized geometry, DFT PBE; energy of formation from the pure elements = -0.5024 eV per atom; density of states at the Fermi level = 0.6408 states/eV/atom; uncorrected energy = -51.9 eV per cell; symmetry = No. 115
1.0
4.0456 0.0000 0.0000
0.0000 4.0456 0.0000
0.0000 0.0000 10.0442
Ca Co Ni Ge
2 1 3 4
direct
0.5000 0.0000 0.2492 Ca
0.0000 0.5000 0.7508 Ca
0.5000 0.5000 0.5000 Co
0.0000 0.0000 0.5000 Ni
0.5000 0.0000 0.8679 Ni
0.0000 0.5000 0.1321 Ni
0.5000 0.5000 0.0000 Ge
0.0000 0.0000 0.0000 Ge
0.5000 0.0000 0.6276 Ge
0.0000 0.5000 0.3724 Ge

=====

No. 4
MgCd4S5, optimized geometry, DFT PBE; formation energy from raw total energies = -791 meV per atom; uncorrected energy = -33.8 eV per cell; symmetry = No. 160
1.0
4.1282 0.0000 0.5052
2.0332 3.5928 0.5052
-0.0025 -0.0014 17.1378
Mg Cd S
1 4 5
direct
0.9495 0.9495 0.1515 Mg
0.5518 0.5518 0.3447 Cd
0.1506 0.1506 0.5481 Cd
0.7496 0.7496 0.7513 Cd
0.3485 0.3485 0.9544 Cd
0.9979 0.9979 0.0064 S
0.6022 0.6022 0.1933 S
0.2010 0.2010 0.3970 S
0.8000 0.8000 0.6001 S
0.3989 0.3989 0.8032 S

=====

These records have magnetization values of 2.640; 0.000; 0.410; 0.000 μB/f.u., in the order they appear.